This record from Alexandria via LeMat-Bulk describes crystalline LiCrIrO6 at its relaxed geometry. The functional is PBE+U.

Calculated values
Its uncorrected energy is -57.431 eV per formula unit. The space group is P-31c, No. 163. The value obtained for the total magnetic moment is 1.92 μB/f.u. As for the density of states at the Fermi level: 8.3 states/eV per cell.

Lattice parameters (Å, degrees): 5.113 5.113 9.015 90.00 90.00 120.00
Positions (direct):
Li 0.000 0.000 0.000
Li 0.000 0.000 0.500
Cr 0.333 0.667 0.250
Cr 0.667 0.333 0.750
Ir 0.333 0.667 0.750
Ir 0.667 0.333 0.250
O 0.008 0.369 0.634
O 0.008 0.639 0.866
O 0.361 0.369 0.866
O 0.361 0.992 0.634
O 0.369 0.008 0.134
O 0.369 0.361 0.366
O 0.631 0.639 0.634
O 0.631 0.992 0.866
O 0.639 0.008 0.366
O 0.639 0.631 0.134
O 0.992 0.361 0.134
O 0.992 0.631 0.366